Record 1
This record from Alexandria describes crystalline Sc2CrMo at its relaxed geometry. The functional is PBE.

a = 3.273 Å, b = 4.831 Å, c = 9.206 Å
α = 90.00°, β = 90.00°, γ = 90.00°
Space group Cmm2 (No. 35)
Asymmetric unit:
1 Sc 0.000 0.000 0.000 x2
2 Sc 0.000 0.500 0.320 x2
3 Cr 0.000 0.000 0.554 x2
4 Mo 0.000 0.500 0.747 x2

Properties
DOS(E_F) (states/eV/atom): 1.251
ΔE_f (eV per atom): 0.255
Excess energy over the best structure of this formula in the dataset (meV per atom): 177

=====

Record 2
This record from Alexandria describes crystalline Sc2CrMo at its relaxed geometry. The functional is PBE.

a = 3.126 Å, b = 3.126 Å, c = 7.562 Å
α = 90.00°, β = 90.00°, γ = 90.00°
Space group P4mm (No. 99)
Asymmetric unit:
1 Sc 0.000 0.000 0.000 x1
2 Sc 0.500 0.500 0.354 x1
3 Cr 0.000 0.000 0.585 x1
4 Mo 0.500 0.500 0.756 x1

Properties
DOS(E_F) (states/eV/atom): 1.239
ΔE_f (eV per atom): 0.078
Excess energy over the best structure of this formula in the dataset (meV per atom): 0

=====

Record 3
This record from Alexandria describes crystalline Sc4CrMo at its relaxed geometry. The functional is PBE.

a = 7.940 Å, b = 7.940 Å, c = 7.940 Å
α = 90.00°, β = 90.00°, γ = 90.00°
Space group F-43m (No. 216)
Asymmetric unit:
1 Sc 0.124 0.124 0.376 x16
2 Cr 0.000 0.000 0.000 x4
3 Mo 0.250 0.250 0.750 x4

Properties
DOS(E_F) (states/eV/atom): 1.291
ΔE_f (eV per atom): 0.744

=====

Record 4
This record from Alexandria describes crystalline ScCrMo at its relaxed geometry. The functional is PBE.

a = 10.508 Å, b = 3.130 Å, c = 6.229 Å
α = 90.00°, β = 106.86°, γ = 90.00°
Space group C2/m (No. 12)
Asymmetric unit:
1 Sc 0.001 0.000 0.244 x4
2 Cr 0.196 0.500 0.088 x4
3 Mo 0.183 0.500 0.599 x4

Properties
DOS(E_F) (states/eV/atom): 1.269
ΔE_f (eV per atom): 0.117
Excess energy over the best structure of this formula in the dataset (meV per atom): 0

=====

Record 5
This record from Alexandria describes crystalline Sc2CrMo at its relaxed geometry. The functional is PBE.

a = 7.347 Å, b = 7.347 Å, c = 5.644 Å
α = 90.00°, β = 90.00°, γ = 90.00°
Space group I-42d (No. 122)
Asymmetric unit:
1 Sc 0.239 0.750 0.125 x8
2 Cr 0.000 0.000 0.000 x4
3 Mo 0.000 0.000 0.500 x4

Properties
DOS(E_F) (states/eV/atom): 1.210
ΔE_f (eV per atom): 0.701
Excess energy over the best structure of this formula in the dataset (meV per atom): 623

=====

Record 6
This record from Alexandria describes crystalline ScCrMo at its relaxed geometry. The functional is PBE.

a = 5.993 Å, b = 5.993 Å, c = 5.993 Å
α = 90.00°, β = 90.00°, γ = 90.00°
Space group F-43m (No. 216)
Asymmetric unit:
1 Sc 0.000 0.000 0.000 x4
2 Cr 0.250 0.250 0.250 x4
3 Mo 0.000 0.000 0.500 x4

Properties
DOS(E_F) (states/eV/atom): 0.968
ΔE_f (eV per atom): 0.642
Excess energy over the best structure of this formula in the dataset (meV per atom): 525

=====

Record 7
This record from Alexandria describes crystalline ScCrMo at its relaxed geometry. The functional is PBE.

a = 3.0281 Å, b = 3.0281 Å, c = 6.3435 Å
α = 90.00°, β = 90.00°, γ = 120.00°
Space group P3m1 (No. 156)
Asymmetric unit:
1 Sc 0.0000 0.0000 0.0000 x1
2 Cr 0.3333 0.6667 0.3554 x1
3 Mo 0.6667 0.3333 0.6205 x1

Properties
DOS(E_F) (states/eV/atom): 1.432
ΔE_f (eV per atom): 0.384
Excess energy over the best structure of this formula in the dataset (meV per atom): 267

=====

Record 8
This record from Alexandria describes crystalline Sc2Cr2Mo at its relaxed geometry. The functional is PBE.

a = 6.119 Å, b = 6.119 Å, c = 4.613 Å
α = 90.00°, β = 90.00°, γ = 90.00°
Space group P4/mbm (No. 127)
Asymmetric unit:
1 Sc 0.175 0.325 0.000 x4
2 Cr 0.127 0.627 0.500 x4
3 Mo 0.000 0.000 0.500 x2

Properties
DOS(E_F) (states/eV/atom): 1.220
ΔE_f (eV per atom): 0.211

=====

Record 9
This record from Alexandria describes crystalline ScCrMo at its relaxed geometry. The functional is PBE.

a = 2.848 Å, b = 4.591 Å, c = 7.464 Å
α = 83.63°, β = 89.89°, γ = 89.98°
Space group P-1 (No. 2)
Asymmetric unit:
1 Sc 0.016 0.208 0.271 x2
2 Cr 0.390 0.690 0.408 x2
3 Mo 0.362 0.260 0.913 x2

Properties
DOS(E_F) (states/eV/atom): 0.940
ΔE_f (eV per atom): 0.180
Excess energy over the best structure of this formula in the dataset (meV per atom): 63

=====

Record 10
This record from Alexandria describes crystalline ScCrMo at its relaxed geometry. The functional is PBE.

a = 2.663 Å, b = 4.680 Å, c = 7.766 Å
α = 90.00°, β = 90.00°, γ = 90.00°
Space group Imm2 (No. 44)
Asymmetric unit:
1 Sc 0.000 0.000 0.000 x2
2 Cr 0.000 0.000 0.655 x2
3 Mo 0.000 0.000 0.341 x2

Properties
DOS(E_F) (states/eV/atom): 0.970
ΔE_f (eV per atom): 0.399
Excess energy over the best structure of this formula in the dataset (meV per atom): 282

=====

Record 11
This record from Alexandria describes crystalline Sc2CrMo at its relaxed geometry. The functional is PBE.

a = 3.0118 Å, b = 3.0118 Å, c = 27.9279 Å
α = 90.00°, β = 90.00°, γ = 120.00°
Space group R-3m (No. 166, hexagonal axes)
Asymmetric unit:
1 Sc 0.0000 0.0000 0.2476 x6
2 Cr 0.0000 0.0000 0.5000 x3
3 Mo 0.0000 0.0000 0.0000 x3

Properties
DOS(E_F) (states/eV/atom): 1.251
ΔE_f (eV per atom): 0.456
Excess energy over the best structure of this formula in the dataset (meV per atom): 378

=====

Record 12
This record from Alexandria describes crystalline ScCrMo at its relaxed geometry. The functional is PBE.

a = 10.161 Å, b = 3.911 Å, c = 5.348 Å
α = 90.00°, β = 91.05°, γ = 90.00°
Space group Cm (No. 8)
Asymmetric unit:
1 Sc 0.000 0.000 0.000 x2
2 Sc 0.067 0.500 0.493 x2
3 Cr 0.225 0.500 0.009 x2
4 Cr 0.276 0.000 0.244 x2
5 Mo 0.274 0.000 0.758 x2
6 Mo 0.348 0.500 0.484 x2

Properties
DOS(E_F) (states/eV/atom): 1.188
ΔE_f (eV per atom): 0.200
Excess energy over the best structure of this formula in the dataset (meV per atom): 83

=====

no.,uncorrected energy (eV/atom),calculated density (g cm⁻³)
1,-8.024,5.4
2,-8.201,5.3
3,-6.886,4.3
4,-8.812,6.5
5,-7.578,5.2
6,-8.287,6.0
7,-8.545,6.4
8,-8.338,5.6
9,-8.748,6.6
10,-8.530,6.6
11,-7.823,5.4
12,-8.729,6.0